# Ho2AgHg

A relaxed structure of Ho2AgHg (PBEsol, the Alexandria database).

Unit cell a=5.079 b=5.079 c=5.079 alpha=60.00 beta=60.00 gamma=60.00
Atoms (fractional coordinates):
Ho 0.250 0.250 0.250
Ho 0.750 0.750 0.750
Ag 0.000 0.000 0.000
Hg 0.500 0.500 0.500

Volume, A^3/atom: 23.16
Symmetry: No. 225
Energy of formation from the pure elements, eV/atom: -0.459

---

# AgHg2I

A relaxed structure of AgHg2I (PBEsol, the Alexandria database).

Unit cell a=6.882 b=6.882 c=6.882 alpha=99.54 beta=99.54 gamma=131.94
Atoms (fractional coordinates):
Ag 0.000 0.000 0.000
Ag 0.750 0.250 0.500
Hg 0.074 0.125 0.449
Hg 0.375 0.926 0.051
Hg 0.676 0.625 0.551
Hg 0.875 0.324 0.949
I 0.250 0.750 0.500
I 0.500 0.500 0.000

ΔE_f (raw), eV/atom: 0.0258
Volume, A^3/atom: 27.68
Symmetry: No. 122

---

# AgHgSI

A relaxed structure of AgHgSI (PBEsol, the Alexandria database).

Unit cell a=7.046 b=7.502 c=8.481 alpha=90.00 beta=90.00 gamma=90.00
Atoms (fractional coordinates):
Ag 0.120 0.189 0.377
Ag 0.380 0.811 0.877
Ag 0.620 0.311 0.623
Ag 0.880 0.689 0.123
Hg 0.227 0.274 0.967
Hg 0.273 0.726 0.467
Hg 0.727 0.226 0.033
Hg 0.773 0.774 0.533
S 0.007 0.871 0.349
S 0.493 0.129 0.849
S 0.507 0.629 0.651
S 0.993 0.371 0.151
I 0.015 0.381 0.642
I 0.485 0.619 0.142
I 0.515 0.119 0.358
I 0.985 0.881 0.858

ΔE_f (raw), eV/atom: -0.1830
Volume, A^3/atom: 28.01
Symmetry: No. 19
E above lowest polymorph, meV/atom: 6

---

# AgHgSI

A relaxed structure of AgHgSI (PBEsol, the Alexandria database).

Unit cell a=9.740 b=4.518 c=10.142 alpha=90.00 beta=90.00 gamma=90.00
Atoms (fractional coordinates):
Ag 0.092 0.000 0.216
Ag 0.408 0.000 0.216
Ag 0.592 0.000 0.784
Ag 0.908 0.000 0.784
Hg 0.000 0.500 0.500
Hg 0.250 0.500 0.770
Hg 0.500 0.500 0.500
Hg 0.750 0.500 0.230
S 0.005 0.500 0.738
S 0.495 0.500 0.738
S 0.505 0.500 0.262
S 0.995 0.500 0.262
I 0.250 0.000 0.474
I 0.250 0.000 0.987
I 0.750 0.000 0.013
I 0.750 0.000 0.526

ΔE_f (raw), eV/atom: -0.1888
Volume, A^3/atom: 27.89
Symmetry: No. 51
E above lowest polymorph, meV/atom: 0

---

# AgHgTeI2

A relaxed structure of AgHgTeI2 (PBEsol, the Alexandria database).

Unit cell a=5.752 b=5.752 c=5.553 alpha=90.00 beta=90.00 gamma=90.00
Atoms (fractional coordinates):
Ag 0.000 0.000 0.000
Hg 0.500 0.500 0.500
Te 0.500 0.500 0.000
I 0.000 0.500 0.500
I 0.500 0.000 0.500

ΔE_f (raw), eV/atom: 0.5361
Volume, A^3/atom: 36.75
Symmetry: No. 123

---

# InAgHg2

A relaxed structure of InAgHg2 (PBEsol, the Alexandria database).

Unit cell a=4.987 b=4.987 c=5.668 alpha=100.56 beta=100.56 gamma=38.13
Atoms (fractional coordinates):
In 0.000 0.000 0.000
Ag 0.500 0.500 0.500
Hg 0.244 0.244 0.732
Hg 0.756 0.756 0.268

Volume, A^3/atom: 21.35
Symmetry: No. 12
Energy of formation from the pure elements, eV/atom: 0.018

---

> volume of number 5 (AgHgTeI2)?

36.75 A^3/atom